A plane-wave DFT calculation with PBE was carried out for a relaxed TlFe2Ag2 crystal.

Computed properties:
Calculated density ... 9914 kg/m³
E_tot ... -44.8 eV for the cell shown
ΔE_f ... 518 meV/atom

Lattice parameters (Å, degrees): 6.8668 6.8668 3.7783 90.00 90.00 90.00
Last column: nearest neighbours and their distance in Å.
Fractional positions:
Tl (0.0000, 0.0000, 0.0000)  4 Fe 2.76
Tl (0.5000, 0.5000, 0.0000)  4 Fe 2.76
Fe (0.1157, 0.3843, 0.0000)  1 Fe 2.25
Fe (0.3843, 0.8843, 0.0000)  1 Fe 2.25
Fe (0.6157, 0.1157, 0.0000)  1 Fe 2.25
Fe (0.8843, 0.6157, 0.0000)  1 Fe 2.25
Ag (0.1693, 0.6693, 0.5000)  6 Fe 2.74-2.82
Ag (0.3307, 0.1693, 0.5000)  6 Fe 2.74-2.82
Ag (0.6693, 0.8307, 0.5000)  6 Fe 2.74-2.82
Ag (0.8307, 0.3307, 0.5000)  6 Fe 2.74-2.82

A plane-wave DFT calculation with PBE was carried out for a relaxed LiTbErOs crystal.

Computed properties:
Calculated density ... 10550 kg/m³
E_tot ... -93.3 eV for the cell shown
ΔE_f ... -245 meV/atom

Lattice parameters (Å, degrees): 6.9070 6.9070 6.9070 90.00 90.00 90.00
Last column: nearest neighbours and their distance in Å.
Fractional positions:
Li (0.0000, 0.0000, 0.0000)  4 Tb 2.99, 4 Er 2.99
Li (0.0000, 0.5000, 0.5000)  4 Tb 2.99, 4 Er 2.99
Li (0.5000, 0.0000, 0.5000)  4 Tb 2.99, 4 Er 2.99
Li (0.5000, 0.5000, 0.0000)  4 Tb 2.99, 4 Er 2.99
Tb (0.2500, 0.2500, 0.2500)  4 Li 2.99, 4 Os 2.99
Tb (0.2500, 0.7500, 0.7500)  4 Os 2.99, 4 Li 2.99
Tb (0.7500, 0.2500, 0.7500)  4 Os 2.99, 4 Li 2.99
Tb (0.7500, 0.7500, 0.2500)  4 Os 2.99, 4 Li 2.99
Er (0.2500, 0.2500, 0.7500)  4 Li 2.99, 4 Os 2.99
Er (0.2500, 0.7500, 0.2500)  4 Li 2.99, 4 Os 2.99
Er (0.7500, 0.2500, 0.2500)  4 Li 2.99, 4 Os 2.99
Er (0.7500, 0.7500, 0.7500)  4 Li 2.99, 4 Os 2.99
Os (0.0000, 0.0000, 0.5000)  4 Tb 2.99, 4 Er 2.99
Os (0.0000, 0.5000, 0.0000)  4 Tb 2.99, 4 Er 2.99
Os (0.5000, 0.0000, 0.0000)  4 Tb 2.99, 4 Er 2.99
Os (0.5000, 0.5000, 0.5000)  4 Tb 2.99, 4 Er 2.99

A plane-wave DFT calculation with PBE was carried out for a relaxed La2TlF8 crystal.

Computed properties:
Calculated density ... 6683 kg/m³
E_tot ... -64.3 eV for the cell shown

Lattice parameters (Å, degrees): 7.0330 7.0330 7.0330 147.39 121.58 68.53
Last column: nearest neighbours and their distance in Å.
Fractional positions:
La (0.1773, 0.1773, 0.0000)  8 F 2.39-2.67
La (0.8227, 0.8227, 0.0000)  8 F 2.39-2.67
Tl (0.5000, 0.5000, 0.0000)  4 F 2.50
F (0.0386, 0.3296, 0.7090)  3 La 2.44-2.67, 1 F 2.71
F (0.1774, 0.0000, 0.1774)  2 La 2.39, 1 F 2.44
F (0.3683, 0.8683, 0.5000)  2 Tl 2.50, 4 F 2.69-2.71
F (0.3794, 0.6704, 0.7090)  3 La 2.44-2.67, 1 F 2.71
F (0.6206, 0.3296, 0.2910)  3 La 2.44-2.67, 1 F 2.71
F (0.6317, 0.1317, 0.5000)  2 Tl 2.50, 4 F 2.69-2.71
F (0.8226, 0.0000, 0.8226)  2 La 2.39, 1 F 2.44
F (0.9614, 0.6704, 0.2910)  3 La 2.44-2.67, 1 F 2.71

A plane-wave DFT calculation with PBE was carried out for a relaxed SrCuTe2 crystal.

Computed properties:
Calculated density ... 5984 kg/m³
E_tot ... -27.3 eV for the cell shown

Lattice parameters (Å, degrees): 4.4188 4.4188 11.5503 90.00 90.00 90.00
Last column: nearest neighbours and their distance in Å.
Fractional positions:
Sr (0.0000, 0.0000, 0.0000)  4 Te 3.12
Sr (0.5000, 0.5000, 0.5000)  4 Te 3.12
Cu (0.0000, 0.5000, 0.7500)  4 Te 3.12
Cu (0.5000, 0.0000, 0.2500)  4 Te 3.12
Te (0.0000, 0.0000, 0.5000)  4 Sr 3.12
Te (0.0000, 0.5000, 0.2500)  4 Cu 3.12
Te (0.5000, 0.0000, 0.7500)  4 Cu 3.12
Te (0.5000, 0.5000, 0.0000)  4 Sr 3.12

A plane-wave DFT calculation with PBE was carried out for a relaxed CaCr2Tc crystal.

Computed properties:
Calculated density ... 5476 kg/m³
E_tot ... -29.5 eV for the cell shown
ΔE_f ... 541 meV/atom

Lattice parameters (Å, degrees): 3.3151 3.3151 6.6797 90.00 90.00 90.00
Last column: nearest neighbours and their distance in Å.
Fractional positions:
Ca (0.0000, 0.0000, 0.0000)  8 Cr 3.30, 4 Ca 3.32, 2 Tc 3.34
Cr (0.5000, 0.5000, 0.3481)  1 Cr 2.03
Cr (0.5000, 0.5000, 0.6519)  1 Cr 2.03
Tc (0.0000, 0.0000, 0.5000)  8 Cr 2.55

A plane-wave DFT calculation with PBE was carried out for a relaxed MgPd6Pb crystal.

Computed properties:
Calculated density ... 10946 kg/m³
E_tot ... -39.5 eV for the cell shown
ΔE_f ... -376 meV/atom

Lattice parameters (Å, degrees): 5.7358 5.7358 4.0117 90.00 90.00 90.00
Last column: nearest neighbours and their distance in Å.
Fractional positions:
Mg (0.0000, 0.0000, 0.0000)  12 Pd 2.82-2.87
Pd (0.0000, 0.5000, 0.0000)  8 Pd 2.85, 2 Pb 2.87, 2 Mg 2.87
Pd (0.2444, 0.2444, 0.5000)  8 Pd 2.80-2.93, 2 Mg 2.82, 2 Pb 2.88
Pd (0.2444, 0.7556, 0.5000)  8 Pd 2.80-2.93, 2 Mg 2.82, 2 Pb 2.88
Pd (0.5000, 0.0000, 0.0000)  8 Pd 2.85, 2 Pb 2.87, 2 Mg 2.87
Pd (0.7556, 0.2444, 0.5000)  8 Pd 2.80-2.93, 2 Mg 2.82, 2 Pb 2.88
Pd (0.7556, 0.7556, 0.5000)  8 Pd 2.80-2.93, 2 Mg 2.82, 2 Pb 2.88
Pb (0.5000, 0.5000, 0.0000)  12 Pd 2.87-2.88

A plane-wave DFT calculation with PBE was carried out for a relaxed DyTmTaN3 crystal.

Computed properties:
Calculated density ... 9776 kg/m³
E_tot ... -105.8 eV for the cell shown

Lattice parameters (Å, degrees): 7.0546 3.3604 7.9448 90.00 90.70 90.00
Last column: nearest neighbours and their distance in Å.
Fractional positions:
Dy (0.1449, 0.2500, 0.1581)  5 N 2.38-2.57
Dy (0.8551, 0.7500, 0.8419)  5 N 2.38-2.57
Tm (0.3906, 0.7500, 0.8511)  3 N 2.17-2.34
Tm (0.6094, 0.2500, 0.1489)  3 N 2.17-2.34
Ta (0.1314, 0.2500, 0.5775)  4 N 2.02-2.21
Ta (0.8686, 0.7500, 0.4225)  4 N 2.02-2.21
N (0.1305, 0.2500, 0.8373)  1 Ta 2.06
N (0.1817, 0.7500, 0.4445)  3 Ta 2.02-2.21
N (0.3810, 0.7500, 0.1235)  3 Tm 2.17-2.34, 2 Dy 2.38
N (0.6190, 0.2500, 0.8765)  3 Tm 2.17-2.34, 2 Dy 2.38
N (0.8183, 0.2500, 0.5555)  3 Ta 2.02-2.21
N (0.8695, 0.7500, 0.1627)  1 Ta 2.06

A plane-wave DFT calculation with PBE was carried out for a relaxed LaOsPt2 crystal.

Computed properties:
Calculated density ... 15341 kg/m³
E_tot ... -28.5 eV for the cell shown
ΔE_f ... -62 meV/atom

Lattice parameters (Å, degrees): 3.3758 3.3758 6.8321 90.00 90.00 90.00
Last column: nearest neighbours and their distance in Å.
Fractional positions:
La (0.0000, 0.0000, 0.0000)  8 Pt 3.17, 4 La 3.38, 2 Os 3.42
Os (0.0000, 0.0000, 0.5000)  8 Pt 2.73
Pt (0.5000, 0.5000, 0.3054)  1 Pt 2.66, 4 Os 2.73
Pt (0.5000, 0.5000, 0.6946)  1 Pt 2.66, 4 Os 2.73